(1)
First-principles (PBE) data for crystalline LuGaCoPd at its relaxed geometry, as listed in the Open Quantum Materials Database.

Output
E = -5.49 eV/atom
Space-group type = F-43m, No. 216

a = 4.493 Å, b = 4.493 Å, c = 4.493 Å
α = 60.00°, β = 60.00°, γ = 60.00°
Fractional coordinates of all 4 atoms:
Lu 0.000 0.000 0.000
Ga 0.500 0.500 0.500
Co 0.750 0.750 0.750
Pd 0.250 0.250 0.250

(2)
First-principles (PBE) data for crystalline DyTmCu2B2C2 at its relaxed geometry, as listed in the Open Quantum Materials Database.

Output
E = -6.40 eV/atom
Space-group type = P4mm, No. 99

a = 3.562 Å, b = 3.562 Å, c = 7.847 Å
α = 90.00°, β = 90.00°, γ = 90.00°
Fractional coordinates of all 8 atoms:
Dy 0.000 0.000 0.000
Tm 0.500 0.500 0.679
Cu 0.000 0.500 0.339
Cu 0.500 0.000 0.339
B 0.000 0.000 0.509
B 0.500 0.500 0.166
C 0.000 0.000 0.695
C 0.500 0.500 0.980

(3)
First-principles (PBE) data for crystalline HfTlHg2 at its relaxed geometry, as listed in the Open Quantum Materials Database.

Output
E = -2.88 eV/atom
Space-group type = F-43m, No. 216

a = 5.049 Å, b = 5.049 Å, c = 5.049 Å
α = 60.00°, β = 60.00°, γ = 60.00°
Fractional coordinates of all 4 atoms:
Hf 0.000 0.000 0.000
Tl 0.750 0.750 0.750
Hg 0.250 0.250 0.250
Hg 0.500 0.500 0.500

(4)
First-principles (PBE) data for crystalline CoGe2Te at its relaxed geometry, as listed in the Open Quantum Materials Database.

Output
E = -4.37 eV/atom
Space-group type = F-43m, No. 216

a = 4.700 Å, b = 4.700 Å, c = 4.700 Å
α = 60.00°, β = 60.00°, γ = 60.00°
Fractional coordinates of all 4 atoms:
Co 0.000 0.000 0.000
Ge 0.250 0.250 0.250
Ge 0.500 0.500 0.500
Te 0.750 0.750 0.750